[1]
## SrBe2CrCd (PBE)

Data for crystalline SrBe2CrCd at its relaxed geometry.

The structure belongs to space group P4/mmm (No. 123); the cell edges are 4.565, 4.565 and 5.087 Å and the angles 90.00°, 90.00° and 90.00°. The distinct sites, in fractional coordinates, are Sr at (0.000, 0.000, 0.000), Be at (0.000, 0.500, 0.500), Cr at (0.500, 0.500, 0.000) and Cd at (0.500, 0.500, 0.500).

The total energy comes out at -2.789 eV per atom.

[2]
## HoTm5In6 (PBE)

Data for crystalline HoTm5In6 at its relaxed geometry.

The structure belongs to space group Cmmm (No. 65); the cell edges are 5.279, 15.836 and 7.400 Å and the angles 90.00°, 90.00° and 90.00°. The distinct sites, in fractional coordinates, are Ho at (0.000, 0.000, 0.000), Tm at (0.000, 0.000, 0.500), Tm at (0.000, 0.333, 0.000), Tm at (0.000, 0.334, 0.500), In at (0.000, 0.167, 0.251) and In at (0.000, 0.500, 0.251).

The total energy comes out at -4.042 eV per atom.

[3]
## CaIrO3 (PBE)

Data for crystalline CaIrO3 at its relaxed geometry.

The structure belongs to space group Cmcm (No. 63); the cell edges are 3.575, 12.664 and 5.630 Å and the angles 90.00°, 90.00° and 90.00°. The distinct sites, in fractional coordinates, are Ca at (0.000, 0.201, 0.250), Ir at (0.000, 0.500, 0.000), O at (0.000, 0.005, 0.250) and O at (0.000, 0.349, 0.501).

Its energy relative to the elements, uncorrected is -6.8 eV per formula unit.

[4]
## Tl2SiSe (PBE)

Data for crystalline Tl2SiSe at its relaxed geometry.

The structure belongs to space group F-43m (No. 216); the cell edges are 7.385, 7.385 and 7.385 Å and the angles 90.00°, 90.00° and 90.00°. The distinct sites, in fractional coordinates, are Tl at (0.000, 0.000, 0.000), Tl at (0.250, 0.250, 0.250), Si at (0.250, 0.250, 0.750) and Se at (0.000, 0.000, 0.500).

Its energy relative to the elements, uncorrected is 1.4 eV per formula unit. The value obtained for the offset from the most stable computed form is 1.36 eV/f.u.

[5]
## RbBaInO3 (PBE)

Data for crystalline RbBaInO3 at its relaxed geometry.

The structure belongs to space group C2/m (No. 12); the cell edges are 14.590, 4.390 and 7.983 Å and the angles 90.00°, 105.49° and 90.00°. The distinct sites, in fractional coordinates, are Rb at (0.155, 0.000, 0.072), Ba at (0.155, 0.000, 0.585), In at (0.007, 0.500, 0.266), O at (0.007, 0.000, 0.288), O at (0.140, 0.500, 0.795) and O at (0.154, 0.500, 0.347).

Its energy relative to the elements, uncorrected is -10.2 eV per formula unit.

[6]
## Li5ZnO4 (PBE)

Data for crystalline Li5ZnO4 at its relaxed geometry.

The structure belongs to space group Immm (No. 71); the cell edges are 2.920, 6.381 and 9.986 Å and the angles 90.00°, 90.00° and 90.00°. The distinct sites, in fractional coordinates, are Li at (0.000, 0.000, 0.000), Li at (0.000, 0.268, 0.158), Zn at (0.000, 0.000, 0.500), O at (0.000, 0.000, 0.290) and O at (0.000, 0.292, 0.500).

Its energy relative to the elements, uncorrected is -14.3 eV per formula unit.

[7]
## RbAgSn2Cl6 (PBE)

Data for crystalline RbAgSn2Cl6 at its relaxed geometry.

The structure belongs to space group C2/c (No. 15); the cell edges are 11.701, 15.724 and 9.767 Å and the angles 90.00°, 121.96° and 90.00°. The distinct sites, in fractional coordinates, are Rb at (0.000, 0.048, 0.250), Ag at (0.000, 0.226, 0.750), Sn at (0.135, 0.404, 0.166), Cl at (0.099, 0.121, 0.626), Cl at (0.162, 0.347, 0.946) and Cl at (0.172, 0.446, 0.599).

Its energy relative to the elements, uncorrected is -10.7 eV per formula unit.

[8]
## Tb8PmTh2 (PBE)

Data for crystalline Tb8PmTh2 at its relaxed geometry.

The structure belongs to space group C2/m (No. 12); the cell edges are 9.014, 16.170 and 5.972 Å and the angles 90.00°, 123.48° and 90.00°. The distinct sites, in fractional coordinates, are Tb at (0.000, 0.209, 0.000), Tb at (0.075, 0.500, 0.793), Tb at (0.218, 0.118, 0.678), Pm at (0.000, 0.000, 0.000) and Th at (0.000, 0.307, 0.500).

The value obtained for the offset from the most stable computed form is 0.10 eV/f.u.

[9]
## KAlTl2 (PBE)

Data for crystalline KAlTl2 at its relaxed geometry.

The structure belongs to space group C2/m (No. 12); the cell edges are 8.856, 3.654 and 7.996 Å and the angles 90.00°, 99.22° and 90.00°. The distinct sites, in fractional coordinates, are K at (0.000, 0.000, 0.000), Al at (0.000, 0.500, 0.500) and Tl at (0.239, 0.000, 0.683).

The value obtained for the offset from the most stable computed form is 0.07 eV/f.u.

[10]
## AgBi2O6 (PBE)

Data for crystalline AgBi2O6 at its relaxed geometry.

The structure belongs to space group P4_2/mnm (No. 136); the cell edges are 5.020, 5.020 and 10.347 Å and the angles 90.00°, 90.00° and 90.00°. The distinct sites, in fractional coordinates, are Ag at (0.000, 0.000, 0.000), Bi at (0.000, 0.000, 0.333), O at (0.193, 0.193, 0.500) and O at (0.194, 0.194, 0.170).

Its energy relative to the elements, uncorrected is -5.2 eV per formula unit.